{"formula": "CdBF", "functional": "PBE", "state": "optimized geometry", "lattice_angstrom": [[7.317, 0.000, 0.000], [0.000, 5.635, 0.000], [-1.905, 0.000, 4.741]], "species": ["Cd", "Cd", "Cd", "Cd", "B", "B", "B", "B", "F", "F", "F", "F"], "frac_coords": [[0.000, 0.000, 0.000], [0.114, 0.500, 0.988], [0.500, 0.500, 0.000], [0.614, 0.000, 0.988], [0.353, 0.149, 0.171], [0.353, 0.851, 0.171], [0.853, 0.351, 0.171], [0.853, 0.649, 0.171], [0.428, 0.242, 0.453], [0.428, 0.758, 0.453], [0.928, 0.258, 0.453], [0.928, 0.742, 0.453]], "dft_energy_ha_per_atom": -0.1410}

---

{"formula": "CdBF5", "functional": "PBE", "state": "optimized geometry", "lattice_angstrom": [[4.055, -3.823, 0.000], [4.055, 3.823, 0.000], [-3.996, 0.000, 6.923]], "species": ["Cd", "Cd", "B", "B", "F", "F", "F", "F", "F", "F", "F", "F", "F", "F"], "frac_coords": [[0.000, 0.000, 0.000], [0.000, 0.000, 0.500], [0.399, 0.601, 0.750], [0.601, 0.399, 0.250], [0.090, 0.910, 0.250], [0.279, 0.695, 0.598], [0.305, 0.721, 0.902], [0.330, 0.343, 0.178], [0.343, 0.330, 0.678], [0.657, 0.670, 0.322], [0.670, 0.657, 0.822], [0.695, 0.279, 0.098], [0.721, 0.305, 0.402], [0.910, 0.090, 0.750]], "dft_energy_ha_per_atom": -0.1836}

---

{"formula": "CdBF2", "functional": "PBE", "state": "optimized geometry", "lattice_angstrom": [[5.934, 0.000, 0.000], [0.000, 5.934, 0.000], [0.000, 0.000, 5.934]], "species": ["Cd", "Cd", "Cd", "Cd", "B", "B", "B", "B", "F", "F", "F", "F", "F", "F", "F", "F"], "frac_coords": [[0.000, 0.000, 0.000], [0.000, 0.500, 0.500], [0.500, 0.000, 0.500], [0.500, 0.500, 0.000], [0.000, 0.000, 0.500], [0.000, 0.500, 0.000], [0.500, 0.000, 0.000], [0.500, 0.500, 0.500], [0.250, 0.250, 0.250], [0.250, 0.250, 0.750], [0.250, 0.750, 0.250], [0.250, 0.750, 0.750], [0.750, 0.250, 0.250], [0.750, 0.250, 0.750], [0.750, 0.750, 0.250], [0.750, 0.750, 0.750]], "dft_energy_ha_per_atom": -0.1099}

---

{"formula": "Cd2BF6", "functional": "PBE", "state": "optimized geometry", "lattice_angstrom": [[5.159, 0.000, 0.000], [0.000, 5.159, 0.000], [0.000, 0.000, 9.427]], "species": ["Cd", "Cd", "Cd", "Cd", "B", "B", "F", "F", "F", "F", "F", "F", "F", "F", "F", "F", "F", "F"], "frac_coords": [[0.000, 0.000, 0.155], [0.000, 0.000, 0.845], [0.500, 0.500, 0.345], [0.500, 0.500, 0.655], [0.000, 0.000, 0.500], [0.500, 0.500, 0.000], [0.179, 0.179, 0.354], [0.179, 0.179, 0.646], [0.189, 0.811, 0.500], [0.311, 0.311, 0.000], [0.321, 0.679, 0.146], [0.321, 0.679, 0.854], [0.679, 0.321, 0.146], [0.679, 0.321, 0.854], [0.689, 0.689, 0.000], [0.811, 0.189, 0.500], [0.821, 0.821, 0.354], [0.821, 0.821, 0.646]], "dft_energy_ha_per_atom": -0.1518}

---

{"formula": "CdBF2", "functional": "PBE", "state": "optimized geometry", "lattice_angstrom": [[0.000, 3.995, 3.995], [3.995, 0.000, 3.995], [3.995, 3.995, 0.000]], "species": ["Cd", "Cd", "B", "B", "F", "F", "F", "F"], "frac_coords": [[0.125, 0.125, 0.125], [0.875, 0.875, 0.875], [0.375, 0.375, 0.375], [0.625, 0.625, 0.625], [0.000, 0.500, 0.500], [0.500, 0.000, 0.500], [0.500, 0.500, 0.000], [0.500, 0.500, 0.500]], "dft_energy_ha_per_atom": -0.1225}

---

{"formula": "CdBF5", "functional": "PBE", "state": "optimized geometry", "lattice_angstrom": [[4.206, -2.959, 0.000], [4.206, 2.959, 0.000], [-3.248, 0.000, 6.644]], "species": ["Cd", "Cd", "B", "B", "F", "F", "F", "F", "F", "F", "F", "F", "F", "F"], "frac_coords": [[0.044, 0.956, 0.750], [0.956, 0.044, 0.250], [0.500, 0.500, 0.000], [0.500, 0.500, 0.500], [0.160, 0.733, 0.009], [0.264, 0.373, 0.400], [0.267, 0.840, 0.491], [0.373, 0.264, 0.900], [0.428, 0.572, 0.750], [0.572, 0.428, 0.250], [0.627, 0.736, 0.100], [0.733, 0.160, 0.509], [0.736, 0.627, 0.600], [0.840, 0.267, 0.991]], "dft_energy_ha_per_atom": -0.1679}

---

We obtain N(E_F) values of 0.1 0.0 2.9 2.6 1.0 0.0 states/eV/f.u. for the records listed above, in that order.